[1]
# PBE FePd2Se2, relaxed
# * symmetry: Ibam, No. 72
# * uncorrected formation energy: -0.263 eV/atom
data_FePd2Se2
_chemical_formula_sum 'Fe2 Pd4 Se4'
_cell_length_a 5.091
_cell_length_b 5.943
_cell_length_c 6.623
_cell_angle_alpha 116.66
_cell_angle_beta 112.60
_cell_angle_gamma 90.00
_space_group_name_H-M_alt 'P 1'
_space_group_IT_number 1
loop_
_space_group_symop_operation_xyz
'x,y,z'
loop_
_atom_site_label
_atom_site_fract_x
_atom_site_fract_y
_atom_site_fract_z
_atom_site_occupancy
Se1 0.644 0.942 0.288 1
Se2 0.356 0.058 0.712 1
Se3 0.144 0.346 0.288 1
Se4 0.856 0.654 0.712 1
Pd1 0.889 0.268 0.778 1
Pd2 0.111 0.732 0.222 1
Pd3 0.611 0.490 0.222 1
Pd4 0.389 0.510 0.778 1
Fe1 0.750 0.000 0.000 1
Fe2 0.250 0.000 0.000 1

=====

[2]
# PBE FePdSe2, relaxed
# * symmetry: R-3m, No. 166
# * uncorrected formation energy: -0.118 eV/atom
data_FePdSe2
_chemical_formula_sum 'Fe1 Pd1 Se2'
_cell_length_a 7.953
_cell_length_b 7.953
_cell_length_c 7.953
_cell_angle_alpha 24.19
_cell_angle_beta 24.19
_cell_angle_gamma 24.19
_space_group_name_H-M_alt 'P 1'
_space_group_IT_number 1
loop_
_space_group_symop_operation_xyz
'x,y,z'
loop_
_atom_site_label
_atom_site_fract_x
_atom_site_fract_y
_atom_site_fract_z
_atom_site_occupancy
Se1 0.895 0.895 0.895 1
Se2 0.105 0.105 0.105 1
Pd1 0.000 0.000 0.000 1
Fe1 0.500 0.500 0.500 1

=====

[3]
# PBE Fe3PdSe, relaxed
# * symmetry: Pm-3m, No. 221
# * uncorrected formation energy: 1.092 eV/atom
data_Fe3PdSe
_chemical_formula_sum 'Fe3 Pd1 Se1'
_cell_length_a 4.658
_cell_length_b 4.658
_cell_length_c 4.658
_cell_angle_alpha 90.00
_cell_angle_beta 90.00
_cell_angle_gamma 90.00
_space_group_name_H-M_alt 'P 1'
_space_group_IT_number 1
loop_
_space_group_symop_operation_xyz
'x,y,z'
loop_
_atom_site_label
_atom_site_fract_x
_atom_site_fract_y
_atom_site_fract_z
_atom_site_occupancy
Se1 0.500 0.500 0.500 1
Pd1 0.000 0.000 0.000 1
Fe1 0.000 0.500 0.000 1
Fe2 0.000 0.000 0.500 1
Fe3 0.500 0.000 0.000 1

=====

[4]
# PBE FeSi2PdSe, relaxed
# * symmetry: P4/mmm, No. 123
# * uncorrected formation energy: 0.618 eV/atom
data_FeSi2PdSe
_chemical_formula_sum 'Fe1 Si2 Pd1 Se1'
_cell_length_a 4.551
_cell_length_b 4.980
_cell_length_c 4.551
_cell_angle_alpha 90.00
_cell_angle_beta 90.00
_cell_angle_gamma 90.00
_space_group_name_H-M_alt 'P 1'
_space_group_IT_number 1
loop_
_space_group_symop_operation_xyz
'x,y,z'
loop_
_atom_site_label
_atom_site_fract_x
_atom_site_fract_y
_atom_site_fract_z
_atom_site_occupancy
Si1 0.000 0.000 0.500 1
Si2 0.500 0.000 0.000 1
Se1 0.500 0.500 0.500 1
Pd1 0.000 0.000 0.000 1
Fe1 0.000 0.500 0.000 1

=====

[5]
# PBE SrFe2PdSe, relaxed
# * symmetry: P4/mmm, No. 123
# * uncorrected formation energy: 0.383 eV/atom
data_SrFe2PdSe
_chemical_formula_sum 'Sr1 Fe2 Pd1 Se1'
_cell_length_a 4.693
_cell_length_b 5.939
_cell_length_c 4.693
_cell_angle_alpha 90.00
_cell_angle_beta 90.00
_cell_angle_gamma 90.00
_space_group_name_H-M_alt 'P 1'
_space_group_IT_number 1
loop_
_space_group_symop_operation_xyz
'x,y,z'
loop_
_atom_site_label
_atom_site_fract_x
_atom_site_fract_y
_atom_site_fract_z
_atom_site_occupancy
Sr1 0.000 0.500 0.000 1
Se1 0.500 0.500 0.500 1
Pd1 0.000 0.000 0.000 1
Fe1 0.000 0.000 0.500 1
Fe2 0.500 0.000 0.000 1

=====

[6]
# PBE Sr2FePdSe, relaxed
# * symmetry: P4/mmm, No. 123
# * uncorrected formation energy: -0.131 eV/atom
data_Sr2FePdSe
_chemical_formula_sum 'Sr2 Fe1 Pd1 Se1'
_cell_length_a 5.703
_cell_length_b 4.529
_cell_length_c 5.703
_cell_angle_alpha 90.00
_cell_angle_beta 90.00
_cell_angle_gamma 90.00
_space_group_name_H-M_alt 'P 1'
_space_group_IT_number 1
loop_
_space_group_symop_operation_xyz
'x,y,z'
loop_
_atom_site_label
_atom_site_fract_x
_atom_site_fract_y
_atom_site_fract_z
_atom_site_occupancy
Sr1 0.000 0.000 0.500 1
Sr2 0.500 0.000 0.000 1
Se1 0.500 0.500 0.500 1
Pd1 0.000 0.500 0.000 1
Fe1 0.000 0.000 0.000 1

=====

[7]
# PBE SrFe2PdSe, relaxed
# * symmetry: P4/mmm, No. 123
# * uncorrected formation energy: 0.122 eV/atom
data_SrFe2PdSe
_chemical_formula_sum 'Sr1 Fe2 Pd1 Se1'
_cell_length_a 4.536
_cell_length_b 4.944
_cell_length_c 4.536
_cell_angle_alpha 90.00
_cell_angle_beta 90.00
_cell_angle_gamma 90.00
_space_group_name_H-M_alt 'P 1'
_space_group_IT_number 1
loop_
_space_group_symop_operation_xyz
'x,y,z'
loop_
_atom_site_label
_atom_site_fract_x
_atom_site_fract_y
_atom_site_fract_z
_atom_site_occupancy
Sr1 0.500 0.500 0.500 1
Se1 0.000 0.000 0.000 1
Pd1 0.000 0.500 0.000 1
Fe1 0.000 0.000 0.500 1
Fe2 0.500 0.000 0.000 1

=====

[8]
# PBE ZnFePd2Se, relaxed
# * symmetry: P4/mmm, No. 123
# * uncorrected formation energy: 0.670 eV/atom
data_ZnFePd2Se
_chemical_formula_sum 'Zn1 Fe1 Pd2 Se1'
_cell_length_a 4.645
_cell_length_b 4.582
_cell_length_c 4.645
_cell_angle_alpha 90.00
_cell_angle_beta 90.00
_cell_angle_gamma 90.00
_space_group_name_H-M_alt 'P 1'
_space_group_IT_number 1
loop_
_space_group_symop_operation_xyz
'x,y,z'
loop_
_atom_site_label
_atom_site_fract_x
_atom_site_fract_y
_atom_site_fract_z
_atom_site_occupancy
Zn1 0.000 0.500 0.000 1
Se1 0.500 0.500 0.500 1
Pd1 0.000 0.000 0.500 1
Pd2 0.500 0.000 0.000 1
Fe1 0.000 0.000 0.000 1

=====

[9]
# PBE Fe3SiPd, relaxed
# * symmetry: Pm-3m, No. 221
# * uncorrected formation energy: 1.328 eV/atom
data_Fe3SiPd
_chemical_formula_sum 'Fe3 Si1 Pd1'
_cell_length_a 4.603
_cell_length_b 4.603
_cell_length_c 4.603
_cell_angle_alpha 90.00
_cell_angle_beta 90.00
_cell_angle_gamma 90.00
_space_group_name_H-M_alt 'P 1'
_space_group_IT_number 1
loop_
_space_group_symop_operation_xyz
'x,y,z'
loop_
_atom_site_label
_atom_site_fract_x
_atom_site_fract_y
_atom_site_fract_z
_atom_site_occupancy
Si1 0.500 0.500 0.500 1
Fe1 0.000 0.500 0.000 1
Fe2 0.000 0.000 0.500 1
Fe3 0.500 0.000 0.000 1
Pd1 0.000 0.000 0.000 1

=====

[10]
# PBE Fe2SiPd8, relaxed
# * symmetry: C2/m, No. 12
# * uncorrected formation energy: -0.207 eV/atom
data_Fe2SiPd8
_chemical_formula_sum 'Fe2 Si1 Pd8'
_cell_length_a 4.126
_cell_length_b 5.790
_cell_length_c 7.237
_cell_angle_alpha 101.60
_cell_angle_beta 106.56
_cell_angle_gamma 90.00
_space_group_name_H-M_alt 'P 1'
_space_group_IT_number 1
loop_
_space_group_symop_operation_xyz
'x,y,z'
loop_
_atom_site_label
_atom_site_fract_x
_atom_site_fract_y
_atom_site_fract_z
_atom_site_occupancy
Fe1 0.216 0.659 0.432 1
Fe2 0.784 0.341 0.568 1
Si1 0.500 0.000 0.000 1
Pd1 0.595 0.446 0.190 1
Pd2 0.332 0.076 0.665 1
Pd3 0.162 0.221 0.324 1
Pd4 0.035 0.763 0.070 1
Pd5 0.838 0.779 0.676 1
Pd6 0.668 0.924 0.335 1
Pd7 0.405 0.554 0.810 1
Pd8 0.965 0.237 0.930 1

=====

[11]
# PBE Fe2SiPd2, relaxed
# * symmetry: P4/mbm, No. 127
# * uncorrected formation energy: 0.075 eV/atom
data_Fe2SiPd2
_chemical_formula_sum 'Fe4 Si2 Pd4'
_cell_length_a 5.781
_cell_length_b 5.781
_cell_length_c 3.989
_cell_angle_alpha 90.00
_cell_angle_beta 90.00
_cell_angle_gamma 90.00
_space_group_name_H-M_alt 'P 1'
_space_group_IT_number 1
loop_
_space_group_symop_operation_xyz
'x,y,z'
loop_
_atom_site_label
_atom_site_fract_x
_atom_site_fract_y
_atom_site_fract_z
_atom_site_occupancy
Si1 0.000 0.000 0.000 1
Si2 0.500 0.500 0.000 1
Fe1 0.370 0.870 0.000 1
Fe2 0.870 0.630 0.000 1
Fe3 0.630 0.130 0.000 1
Fe4 0.130 0.370 0.000 1
Pd1 0.168 0.668 0.500 1
Pd2 0.668 0.832 0.500 1
Pd3 0.832 0.332 0.500 1
Pd4 0.332 0.168 0.500 1

=====

[12]
# PBE FeSi2Pd2, relaxed
# * symmetry: P4/mbm, No. 127
# * uncorrected formation energy: -0.223 eV/atom
data_FeSi2Pd2
_chemical_formula_sum 'Fe2 Si4 Pd4'
_cell_length_a 6.074
_cell_length_b 6.074
_cell_length_c 3.688
_cell_angle_alpha 90.00
_cell_angle_beta 90.00
_cell_angle_gamma 90.00
_space_group_name_H-M_alt 'P 1'
_space_group_IT_number 1
loop_
_space_group_symop_operation_xyz
'x,y,z'
loop_
_atom_site_label
_atom_site_fract_x
_atom_site_fract_y
_atom_site_fract_z
_atom_site_occupancy
Si1 0.355 0.855 0.000 1
Si2 0.855 0.645 0.000 1
Si3 0.645 0.145 0.000 1
Si4 0.145 0.355 0.000 1
Fe1 0.000 0.000 0.000 1
Fe2 0.500 0.500 0.000 1
Pd1 0.168 0.668 0.500 1
Pd2 0.668 0.832 0.500 1
Pd3 0.832 0.332 0.500 1
Pd4 0.332 0.168 0.500 1